No. 1
A plane-wave DFT calculation with PBEsol was carried out for crystalline SrZrAu2 at its relaxed geometry.

Cell lengths 4.9189, 5.1244, 7.0961 Å; angles 90.00, 90.00, 90.00 degrees
Closest atoms and distances in Å follow each position.
Space group Immm (No. 71)
Unique sites:
Sr 0.0000 0.0000 0.0000 x2  8 Au 3.06-3.09
Zr 0.0000 0.0000 0.5000 x2  8 Au 2.98-3.17
Au 0.0000 0.5000 0.2363 x4  4 Zr 2.98-3.17, 4 Sr 3.06-3.09

Its excess energy over the best structure of this formula in the dataset is 52 meV per atom. For the density, the calculation gives 10.635 g/cm3. The value obtained for the density of states at the Fermi level is 0.86 states/eV per atom. As for the total energy: -40.162 eV/cell. As for the formation energy: -326 meV/atom.


No. 2
A plane-wave DFT calculation with PBEsol was carried out for crystalline HoAlGa at its relaxed geometry.

Cell lengths 4.4029, 4.4029, 3.4712 Å; angles 90.00, 90.00, 120.00 degrees
Closest atoms and distances in Å follow each position.
Space group P-6m2 (No. 187)
Unique sites:
Ho 0.0000 0.0000 0.0000 x1  6 Ga 3.08, 6 Al 3.08
Al 0.6667 0.3333 0.5000 x1  3 Ga 2.54
Ga 0.3333 0.6667 0.5000 x1  3 Al 2.54

For the density, the calculation gives 7.455 g/cm3. The value obtained for the density of states at the Fermi level is 0.34 states/eV per atom. As for the total energy: -14.192 eV/cell. As for the formation energy: -604 meV/atom.


No. 3
A plane-wave DFT calculation with PBEsol was carried out for crystalline LiTa2O6 at its relaxed geometry.

Cell lengths 5.2159, 5.2159, 13.9100 Å; angles 90.00, 90.00, 120.00 degrees
Closest atoms and distances in Å follow each position.
Space group R3 (No. 146, hexagonal axes)
Unique sites:
Li 0.0000 0.0000 0.0000 x3  6 O 2.04-2.27
Ta 0.0000 0.0000 0.2178 x3  6 O 1.94-2.01
Ta 0.0000 0.0000 0.7063 x3  6 O 1.96-1.99
O 0.0422 0.3345 0.2914 x9  2 Ta 1.94-1.99, 1 Li 2.04
O 0.1019 0.7605 0.7888 x9  2 Ta 1.96-2.01

For the density, the calculation gives 7.066 g/cm3. The value obtained for the density of states at the Fermi level is 0.37 states/eV per atom. As for the total energy: -242.613 eV/cell. Its uncorrected formation energy is -2.478 eV/atom.


No. 4
A plane-wave DFT calculation with PBEsol was carried out for crystalline Hf3NbH at its relaxed geometry.

Cell lengths 4.3715, 4.3715, 4.3715 Å; angles 90.00, 90.00, 90.00 degrees
Closest atoms and distances in Å follow each position.
Space group Pm-3m (No. 221)
Unique sites:
Hf 0.0000 0.0000 0.5000 x3  2 H 2.19
Nb 0.5000 0.5000 0.5000 x1  12 Hf 3.09
H 0.0000 0.0000 0.0000 x1  6 Hf 2.19

Its excess energy over the best structure of this formula in the dataset is 0 meV per atom. For the density, the calculation gives 12.510 g/cm3. The value obtained for the density of states at the Fermi level is 1.39 states/eV per atom. As for the total energy: -45.691 eV/cell.


No. 5
A plane-wave DFT calculation with PBEsol was carried out for crystalline CaZr2Pt2 at its relaxed geometry.

Cell lengths 4.8913, 4.8913, 9.9820 Å; angles 90.00, 90.00, 90.00 degrees
Closest atoms and distances in Å follow each position.
Space group I4/mmm (No. 139)
Unique sites:
Ca 0.0000 0.0000 0.0000 x2  10 Zr 3.48-3.77, 8 Pt 3.49
Zr 0.0000 0.0000 0.3489 x4  4 Pt 2.64
Pt 0.0000 0.5000 0.2500 x4  4 Zr 2.64

Its excess energy over the best structure of this formula in the dataset is 400 meV per atom. For the density, the calculation gives 8.520 g/cm3. The value obtained for the density of states at the Fermi level is 1.02 states/eV per atom. As for the total energy: -72.558 eV/cell. As for the formation energy: -408 meV/atom.


No. 6
A plane-wave DFT calculation with PBEsol was carried out for crystalline AgSbSe2Br at its relaxed geometry.

Cell lengths 5.0164, 5.0164, 4.9634 Å; angles 90.00, 90.00, 90.00 degrees
Closest atoms and distances in Å follow each position.
Space group P4/mmm (No. 123)
Unique sites:
Ag 0.0000 0.0000 0.0000 x1  2 Br 2.48, 4 Se 2.51
Sb 0.5000 0.5000 0.5000 x1  8 Se 3.53, 4 Br 3.55
Se 0.0000 0.5000 0.0000 x2  2 Ag 2.51
Br 0.0000 0.0000 0.5000 x1  2 Ag 2.48

For the density, the calculation gives 6.215 g/cm3. The value obtained for the density of states at the Fermi level is 0.64 states/eV per atom. As for the total energy: -15.629 eV/cell. Its uncorrected formation energy is 0.362 eV/atom.